No. 1
LaCuAu PBE optimized geometry; symmetry = C2/m, No. 12; E_form = -1.570 eV per formula unit; crystal system = monoclinic; M_tot = 0.000 μB/atom; volume = 23.35 A^3/atom
1.0
4.099 0.000 -0.342
0.000 4.063 0.000
-2.271 -2.031 8.603
La Cu Au
2 2 2
Direct
0.587 0.883 0.765
0.413 0.117 0.235
0.195 0.462 0.923
0.805 0.538 0.077
0.979 0.304 0.609
0.021 0.696 0.391



No. 2
CrAgAu2 PBE optimized geometry; symmetry = P4/mmm, No. 123; E_form = 0.362 eV per formula unit; crystal system = tetragonal; M_tot = 1.125 μB/atom; volume = 17.50 A^3/atom
1.0
-2.135 -1.058 3.179
3.322 -2.045 1.550
1.223 3.492 1.984
Ag Au Cr
1 2 1
Direct
0.500 0.000 0.500
0.000 0.000 0.000
0.000 0.500 0.500
0.500 0.500 0.000



No. 3
CaDyNiHg PBE optimized geometry; symmetry = F-43m, No. 216; E_form = -1.112 eV per formula unit; crystal system = cubic; M_tot = 0.000 μB/atom; volume = 22.96 A^3/atom
1.0
5.064 0.000 0.000
2.532 4.386 0.000
2.532 1.462 4.135
Ni Ca Hg Dy
1 1 1 1
Direct
0.000 0.000 0.000
0.250 0.250 0.250
0.500 0.500 0.500
0.750 0.750 0.750



No. 4
Ho2MnZn PBE optimized geometry; symmetry = P4/mmm, No. 123; E_form = -0.342 eV per formula unit; crystal system = tetragonal; M_tot = 0.792 μB/atom; volume = 22.07 A^3/atom; ΔE to the lowest computed polymorph = 0.0 meV per atom
1.0
-3.349 0.743 0.871
-0.933 -0.211 -3.407
-1.321 -6.877 0.788
Zn Mn Ho
1 1 2
Direct
0.500 0.500 0.000
0.500 0.500 0.500
0.000 0.000 0.746
0.000 0.000 0.254



No. 5
SnH PBE optimized geometry; symmetry = P1, No. 1; crystal system = triclinic; M_tot = 0.000 μB/atom; volume = 21.70 A^3/atom; ΔE to the lowest computed polymorph = 0.0 meV per atom
1.0
-0.684 -3.156 -0.723
1.196 -1.273 -2.809
6.689 -4.184 4.738
Sn H
2 2
Direct
0.901 0.273 0.266
0.374 0.005 0.550
0.813 0.830 0.871
0.792 0.862 0.954



No. 6
CaHfMnGe2 PBE optimized geometry; symmetry = P4/mmm, No. 123; E_form = 0.411 eV per formula unit; crystal system = tetragonal; M_tot = 0.112 μB/atom; volume = 21.95 A^3/atom
1.0
4.752 0.000 0.000
0.000 4.862 0.000
0.000 0.000 4.752
Ge Mn Hf Ca
2 1 1 1
Direct
0.000 0.000 0.500
0.500 0.000 0.000
0.000 0.000 0.000
0.000 0.500 0.000
0.500 0.500 0.500



No. 7
Rb3Mg2Pb8 PBE optimized geometry; symmetry = P-1, No. 2; E_form = -0.384 eV per formula unit; crystal system = triclinic; M_tot = 0.000 μB/atom; volume = 38.58 A^3/atom
1.0
-3.173 0.613 -7.886
2.193 -4.365 -6.832
-6.881 -8.651 -8.097
Rb Mg Pb
3 2 8
Direct
0.000 0.000 0.000
0.240 0.214 0.319
0.760 0.786 0.681
0.385 0.406 0.684
0.615 0.594 0.316
0.256 0.321 0.995
0.744 0.679 0.005
0.237 0.822 0.705
0.775 0.243 0.733
0.271 0.308 0.569
0.225 0.757 0.267
0.763 0.178 0.295
0.729 0.692 0.431



No. 8
Sm5Dy2Er4 PBE optimized geometry; symmetry = P-1, No. 2; E_form = 0.945 eV per formula unit; crystal system = triclinic; M_tot = 0.000 μB/atom; volume = 32.49 A^3/atom; ΔE to the lowest computed polymorph = 0.0 meV per atom
1.0
-6.366 -1.006 1.460
-6.959 -2.387 -4.917
-1.968 -8.851 0.854
Sm Dy Er
5 2 4
Direct
0.596 0.182 0.866
0.404 0.818 0.134
0.000 0.000 0.500
0.238 0.706 0.893
0.762 0.294 0.107
0.284 0.091 0.705
0.716 0.909 0.295
0.299 0.478 0.450
0.701 0.522 0.550
0.891 0.603 0.803
0.109 0.397 0.197



No. 9
SnAuF PBE optimized geometry; symmetry = P-1, No. 2; crystal system = triclinic; M_tot = 0.000 μB/atom; ΔE_f (raw) = -1.016 eV/atom; volume = 20.76 A^3/atom; ΔE to the lowest computed polymorph = 118.2 meV per atom
1.0
4.285 0.017 0.004
1.918 4.195 0.023
0.709 -0.010 6.942
Au Sn F
2 2 2
Direct
0.316 0.319 0.073
0.684 0.681 0.927
0.183 0.808 0.679
0.817 0.192 0.321
0.651 0.674 0.427
0.349 0.326 0.573



No. 10
SrAs2PRh PBE optimized geometry; symmetry = P4/mmm, No. 123; E_form = -0.837 eV per formula unit; crystal system = tetragonal; M_tot = 0.000 μB/atom; volume = 22.49 A^3/atom
1.0
5.057 0.000 0.000
0.000 4.398 0.000
0.000 0.000 5.057
Sr As Rh P
1 2 1 1
Direct
0.500 0.500 0.500
0.000 0.000 0.500
0.500 0.000 0.000
0.000 0.500 0.000
0.000 0.000 0.000



No. 11
Ba2GeAsN PBE optimized geometry; symmetry = P2_1/m, No. 11; crystal system = monoclinic; M_tot = 0.000 μB/atom; ΔE_f (raw) = -0.705 eV/atom; volume = 27.77 A^3/atom
1.0
-1.618 -2.181 3.330
5.591 -4.361 -0.140
1.494 7.792 5.830
Ba Ge As N
4 2 2 2
Direct
0.750 0.805 0.609
0.750 0.778 0.022
0.250 0.195 0.391
0.250 0.222 0.978
0.250 0.545 0.712
0.750 0.455 0.288
0.250 0.677 0.276
0.750 0.323 0.724
0.250 0.811 0.847
0.750 0.189 0.153



No. 12
FeAsRu3 PBE optimized geometry; symmetry = Pm-3m, No. 221; E_form = 7.217 eV per formula unit; crystal system = cubic; M_tot = 0.276 μB/atom; volume = 17.81 A^3/atom; ΔE to the lowest computed polymorph = 123.4 meV per atom
1.0
4.466 0.000 0.000
0.000 4.466 0.000
0.000 0.000 4.466
Ru As Fe
3 1 1
Direct
0.000 0.500 0.000
0.000 0.000 0.500
0.500 0.000 0.000
0.000 0.000 0.000
0.500 0.500 0.500



No. 13
MgBeHg2 PBE optimized geometry; symmetry = Imm2, No. 44; E_form = 0.670 eV per formula unit; crystal system = orthorhombic; M_tot = 0.000 μB/atom; volume = 19.68 A^3/atom; ΔE to the lowest computed polymorph = 9.3 meV per atom
1.0
-4.958 0.135 -4.633
-0.298 0.059 -6.780
1.862 -2.526 6.018
Be Mg Hg
1 1 2
Direct
0.243 0.743 0.500
0.437 0.437 0.000
0.061 0.061 0.000
0.759 0.259 0.500



No. 14
CsCd PBE optimized geometry; symmetry = P4/mmm, No. 123; E_form = -0.064 eV per formula unit; crystal system = tetragonal; M_tot = 0.000 μB/atom; volume = 66.75 A^3/atom
1.0
-2.283 4.308 -13.277
-13.361 3.222 3.343
1.526 4.937 1.340
Cs Cd
8 8
Direct
0.196 0.500 0.500
0.804 0.500 0.500
0.500 0.804 0.500
0.500 0.196 0.500
0.829 0.829 0.000
0.829 0.171 0.000
0.171 0.829 0.000
0.171 0.171 0.000
0.696 0.000 0.500
0.304 0.000 0.500
0.000 0.304 0.500
0.000 0.696 0.500
0.395 0.000 0.000
0.605 0.000 0.000
0.000 0.605 0.000
0.000 0.395 0.000



No. 15
TlCr2GeH PBE optimized geometry; symmetry = P4/mmm, No. 123; crystal system = tetragonal; M_tot = 1.772 μB/atom; total DFT energy (no corrections) = -21.0 eV for the cell shown; volume = 30.25 A^3/atom
1.0
-4.407 -3.105 -0.019
1.278 -1.785 -4.924
2.732 -3.889 2.119
Cr Tl Ge H
2 1 1 1
Direct
0.000 0.500 0.000
0.500 0.000 0.000
0.000 0.000 0.000
0.000 0.000 0.500
0.500 0.500 0.500



No. 16
SbAs2Au PBE optimized geometry; symmetry = F-43m, No. 216; crystal system = cubic; M_tot = 0.000 μB/atom; ΔE_f (raw) = 0.344 eV/atom; volume = 21.05 A^3/atom
1.0
-3.790 2.565 -1.807
-3.620 1.475 2.988
-0.490 4.770 1.101
Sb As Au
1 2 1
Direct
0.250 0.250 0.250
0.000 0.000 0.000
0.750 0.750 0.750
0.500 0.500 0.500



No. 17
Nd2YIr PBE optimized geometry; symmetry = Cmcm, No. 63; E_form = -1.739 eV per formula unit; crystal system = orthorhombic; M_tot = 0.000 μB/atom; volume = 28.87 A^3/atom; ΔE to the lowest computed polymorph = 43.6 meV per atom
1.0
-2.613 -2.777 1.089
5.542 -2.851 -1.200
2.601 1.173 9.231
Nd Y Ir
4 2 2
Direct
0.139 0.278 0.433
0.861 0.722 0.567
0.861 0.722 0.933
0.139 0.278 0.067
0.418 0.837 0.250
0.582 0.163 0.750
0.744 0.489 0.250
0.256 0.511 0.750



No. 18
SrCaBiI PBE optimized geometry; symmetry = F-43m, No. 216; crystal system = cubic; M_tot = 0.000 μB/atom; ΔE_f (raw) = -1.017 eV/atom; volume = 34.49 A^3/atom; ΔE to the lowest computed polymorph = 159.3 meV per atom
1.0
5.800 0.000 0.000
2.900 5.023 0.000
2.900 1.674 4.736
I Sr Ca Bi
1 1 1 1
Direct
0.000 0.000 0.000
0.750 0.750 0.750
0.250 0.250 0.250
0.500 0.500 0.500



No. 19
Nd3Tm2Sc2 PBE optimized geometry; symmetry = C2/m, No. 12; E_form = 0.931 eV per formula unit; crystal system = monoclinic; M_tot = 0.000 μB/atom; volume = 30.83 A^3/atom; ΔE to the lowest computed polymorph = 47.7 meV per atom
1.0
-0.822 -3.322 0.264
7.982 -1.868 1.341
-4.538 3.425 6.661
Nd Tm Sc
3 2 2
Direct
0.000 0.500 0.000
0.214 0.797 0.429
0.786 0.203 0.571
0.864 0.691 0.728
0.136 0.309 0.272
0.564 0.911 0.128
0.436 0.089 0.872



No. 20
Li3Pd3Pt PBE optimized geometry; symmetry = P6_3/m, No. 176; E_form = -2.563 eV per formula unit; crystal system = hexagonal; M_tot = 0.000 μB/atom; volume = 14.39 A^3/atom; ΔE to the lowest computed polymorph = 0.0 meV per atom
1.0
-3.602 0.101 2.572
3.993 -2.098 5.674
-0.829 7.056 -1.437
Li Pd Pt
6 6 2
Direct
0.750 0.625 0.529
0.750 0.471 0.097
0.750 0.903 0.375
0.250 0.375 0.471
0.250 0.529 0.903
0.250 0.097 0.625
0.250 0.809 0.753
0.250 0.247 0.055
0.250 0.945 0.191
0.750 0.191 0.247
0.750 0.753 0.945
0.750 0.055 0.809
0.250 0.667 0.333
0.750 0.333 0.667